The following is a PBE calculation of LaTc2H2 after structural relaxation, from Alexandria.

The structure in extended XYZ format:
```
5
Lattice="3.6770 0.0000 0.0000 0.0000 3.6770 0.0000 1.8385 1.8385 5.2820" Properties=species:S:1:pos:R:3 pbc="T T T"
H 1.8385 1.8385 1.6513
H 3.6770 3.6770 3.6307
Tc 3.6770 1.8385 2.6410
Tc 1.8385 3.6770 2.6410
La 0.0000 0.0000 0.0000
```

Output
excess energy over the best structure of this formula in the dataset	0.00	eV/f.u.